Material: TbCe2TmIn4
Method: DFT, GGA-PBE
State: relaxed

total magnetic moment: 0.242 μB/atom
ΔE_f: -394 meV/atom

Unit cell a=5.3798 b=5.3798 c=26.4058 alpha=90.00 beta=90.00 gamma=120.00
Last column: nearest neighbours and their distance in Å.
Space group R-3m (No. 166, hexagonal axes)
One atom of each set of equivalent atoms:
Tb (0.0000, 0.0000, 0.0000) [3 per cell]  8 In 3.30-3.31
Ce (0.0000, 0.0000, 0.2494) [6 per cell]  8 In 3.28-3.33
Tm (0.0000, 0.0000, 0.5000) [3 per cell]  8 In 3.29
In (0.0000, 0.0000, 0.1254) [6 per cell]  4 Ce 3.28-3.29, 3 Tm 3.29, 1 Tb 3.31
In (0.0000, 0.0000, 0.3754) [6 per cell]  1 Tm 3.29, 4 Ce 3.30-3.33, 3 Tb 3.30